Compound: Th5Tl4Te
Source: the Alexandria database
Functional: PBE-GGA
Structure: relaxed

Structure (POSCAR):
```
Th5Tl4Te
1.0
3.6204 0.0000 0.0000
0.0000 3.6204 0.0000
0.0000 0.0000 22.3410
Th Tl Te
5 4 1
Cartesian
0.0000 0.0000 0.0000
0.0000 0.0000 4.5677
0.0000 0.0000 9.1026
0.0000 0.0000 13.2384
0.0000 0.0000 17.7733
1.8102 1.8102 2.2875
1.8102 1.8102 6.8530
1.8102 1.8102 15.4880
1.8102 1.8102 20.0535
1.8102 1.8102 11.1705
```

Properties
Its symmetry is P4/mmm. Its mass density is 11.94 g cm⁻³. Its uncorrected energy is -52.79 eV/f.u. The density of states at the Fermi level is 11.59 states/eV/cell.